Compound: Ca3Tc
Source: Alexandria
Functional: PBE
Structure: optimized geometry

```
data_Ca3Tc
_symmetry_space_group_name_H-M 'P 1'
_symmetry_Int_Tables_number 1
_cell_length_a 3.540
_cell_length_b 3.540
_cell_length_c 11.112
_cell_angle_alpha 90.00
_cell_angle_beta 90.00
_cell_angle_gamma 120.00
loop_
_symmetry_equiv_pos_as_xyz
'x,y,z'
loop_
_atom_site_label
_atom_site_type_symbol
_atom_site_fract_x
_atom_site_fract_y
_atom_site_fract_z
Tc1 Tc 0.667 0.333 0.750
Ca1 Ca 0.000 0.000 0.945
Ca2 Ca 0.000 0.000 0.555
Ca3 Ca 0.667 0.333 0.250
```

The value obtained for the size of the total moment is 0.3102 μB/atom. The value obtained for the formation energy is 571.3 meV per atom. The density of states at the Fermi level is 1.027 states/eV/atom. Its space-group type is P-6m2 (187).


Compound: NbVIn2
Source: Alexandria
Functional: PBE
Structure: optimized geometry

```
data_NbVIn2
_symmetry_space_group_name_H-M 'P 1'
_symmetry_Int_Tables_number 1
_cell_length_a 7.551
_cell_length_b 7.551
_cell_length_c 6.055
_cell_angle_alpha 51.43
_cell_angle_beta 51.43
_cell_angle_gamma 90.00
loop_
_symmetry_equiv_pos_as_xyz
'x,y,z'
loop_
_atom_site_label
_atom_site_type_symbol
_atom_site_fract_x
_atom_site_fract_y
_atom_site_fract_z
In1 In 0.139 0.625 0.250
Nb1 Nb 0.000 0.000 0.000
Nb2 Nb 0.750 0.250 0.500
In2 In 0.875 0.861 0.750
In3 In 0.375 0.389 0.750
In4 In 0.611 0.125 0.250
V1 V 0.250 0.750 0.500
V2 V 0.500 0.500 0.000
```

The value obtained for the size of the total moment is 0.0001 μB/atom. The value obtained for the formation energy is 578.3 meV per atom. The density of states at the Fermi level is 0.607 states/eV/atom. Its space-group type is I-42d (122).


Compound: Rb3EuF6
Source: Alexandria
Functional: PBE
Structure: optimized geometry

```
data_Rb3EuF6
_symmetry_space_group_name_H-M 'P 1'
_symmetry_Int_Tables_number 1
_cell_length_a 7.050
_cell_length_b 7.050
_cell_length_c 7.050
_cell_angle_alpha 87.99
_cell_angle_beta 61.15
_cell_angle_gamma 118.85
loop_
_symmetry_equiv_pos_as_xyz
'x,y,z'
loop_
_atom_site_label
_atom_site_type_symbol
_atom_site_fract_x
_atom_site_fract_y
_atom_site_fract_z
F1 F 0.690 0.000 0.310
F2 F 0.310 0.310 0.000
Rb1 Rb 0.000 0.500 0.500
F3 F 0.690 0.690 0.000
Eu1 Eu 0.000 0.000 0.000
F4 F 0.310 0.000 0.690
F5 F 0.000 0.235 0.765
Rb2 Rb 0.500 0.250 0.250
F6 F 0.000 0.765 0.235
Rb3 Rb 0.500 0.750 0.750
```

The value obtained for the size of the total moment is 0.6000 μB/atom. For the formation energy from raw total energies, the calculation gives -29.79 eV/f.u. The density of states at the Fermi level is 0.986 states/eV/atom. Its space-group type is I4/mmm (139).


Compound: SrAsO2
Source: Alexandria
Functional: PBE
Structure: optimized geometry

```
data_SrAsO2
_symmetry_space_group_name_H-M 'P 1'
_symmetry_Int_Tables_number 1
_cell_length_a 6.747
_cell_length_b 6.747
_cell_length_c 6.747
_cell_angle_alpha 31.24
_cell_angle_beta 31.24
_cell_angle_gamma 31.24
loop_
_symmetry_equiv_pos_as_xyz
'x,y,z'
loop_
_atom_site_label
_atom_site_type_symbol
_atom_site_fract_x
_atom_site_fract_y
_atom_site_fract_z
O1 O 0.902 0.902 0.902
As1 As 0.000 0.000 0.000
Sr1 Sr 0.500 0.500 0.500
O2 O 0.098 0.098 0.098
```

The value obtained for the size of the total moment is 0.0000 μB/atom. For the formation energy from raw total energies, the calculation gives -6.38 eV/f.u. The density of states at the Fermi level is 0.289 states/eV/atom. Its space-group type is R-3m (166).


Compound: LaReP
Source: Alexandria
Functional: PBE
Structure: optimized geometry

```
data_LaReP
_symmetry_space_group_name_H-M 'P 1'
_symmetry_Int_Tables_number 1
_cell_length_a 4.541
_cell_length_b 4.541
_cell_length_c 4.541
_cell_angle_alpha 60.00
_cell_angle_beta 60.00
_cell_angle_gamma 60.00
loop_
_symmetry_equiv_pos_as_xyz
'x,y,z'
loop_
_atom_site_label
_atom_site_type_symbol
_atom_site_fract_x
_atom_site_fract_y
_atom_site_fract_z
Re1 Re 0.000 0.000 0.000
La1 La 0.500 0.500 0.500
P1 P 0.750 0.750 0.750
```

The value obtained for the size of the total moment is 0.4300 μB/atom. The value obtained for the formation energy is 262.7 meV per atom. The density of states at the Fermi level is 1.088 states/eV/atom. Its space-group type is F-43m (216).


Compound: Sb2PdIF
Source: Alexandria
Functional: PBE
Structure: optimized geometry

```
data_Sb2PdIF
_symmetry_space_group_name_H-M 'P 1'
_symmetry_Int_Tables_number 1
_cell_length_a 4.662
_cell_length_b 4.662
_cell_length_c 5.735
_cell_angle_alpha 90.00
_cell_angle_beta 90.00
_cell_angle_gamma 90.00
loop_
_symmetry_equiv_pos_as_xyz
'x,y,z'
loop_
_atom_site_label
_atom_site_type_symbol
_atom_site_fract_x
_atom_site_fract_y
_atom_site_fract_z
F1 F 0.000 0.000 0.000
Sb1 Sb 0.500 0.000 0.000
Sb2 Sb 0.000 0.500 0.000
I1 I 0.000 0.000 0.500
Pd1 Pd 0.500 0.500 0.500
```

The value obtained for the size of the total moment is 0.0000 μB/atom. For the formation energy from raw total energies, the calculation gives 0.60 eV/f.u. The density of states at the Fermi level is 0.780 states/eV/atom. Its space-group type is P4/mmm (123).


Compound: TbNdY2Sc4
Source: Alexandria
Functional: PBE
Structure: optimized geometry

```
data_TbNdY2Sc4
_symmetry_space_group_name_H-M 'P 1'
_symmetry_Int_Tables_number 1
_cell_length_a 9.119
_cell_length_b 9.119
_cell_length_c 11.343
_cell_angle_alpha 128.46
_cell_angle_beta 128.46
_cell_angle_gamma 88.14
loop_
_symmetry_equiv_pos_as_xyz
'x,y,z'
loop_
_atom_site_label
_atom_site_type_symbol
_atom_site_fract_x
_atom_site_fract_y
_atom_site_fract_z
Y1 Y 0.500 0.000 0.000
Nd1 Nd 0.000 0.500 0.500
Tb1 Tb 0.000 0.000 0.000
Y2 Y 0.500 0.000 0.500
Sc1 Sc 0.249 0.749 0.999
Sc2 Sc 0.249 0.749 0.499
Sc3 Sc 0.751 0.749 0.502
Tb2 Tb 0.500 0.500 0.500
Sc4 Sc 0.249 0.251 0.498
Nd2 Nd 0.000 0.500 0.000
Y3 Y 0.000 0.000 0.500
Sc5 Sc 0.751 0.749 0.998
Sc6 Sc 0.751 0.251 0.001
Sc7 Sc 0.249 0.251 0.002
Y4 Y 0.500 0.500 0.000
Sc8 Sc 0.751 0.251 0.501
```

The value obtained for the size of the total moment is 0.4928 μB/atom. The value obtained for the formation energy is 435.1 meV per atom. The density of states at the Fermi level is 2.082 states/eV/atom. Its space-group type is Imma (74).


Compound: LiZn4Sn4O8
Source: Alexandria
Functional: PBE
Structure: optimized geometry

```
data_LiZn4Sn4O8
_symmetry_space_group_name_H-M 'P 1'
_symmetry_Int_Tables_number 1
_cell_length_a 9.281
_cell_length_b 9.281
_cell_length_c 11.235
_cell_angle_alpha 53.80
_cell_angle_beta 53.80
_cell_angle_gamma 21.54
loop_
_symmetry_equiv_pos_as_xyz
'x,y,z'
loop_
_atom_site_label
_atom_site_type_symbol
_atom_site_fract_x
_atom_site_fract_y
_atom_site_fract_z
O1 O 0.278 0.241 0.173
O2 O 0.453 0.416 0.158
O3 O 0.940 0.903 0.903
Li1 Li 0.524 0.476 0.500
Sn1 Sn 0.739 0.701 0.324
O4 O 0.584 0.547 0.842
Sn2 Sn 0.945 0.908 0.278
O5 O 0.097 0.060 0.097
O6 O 0.626 0.589 0.310
O7 O 0.759 0.722 0.827
O8 O 0.411 0.374 0.690
Zn1 Zn 0.883 0.846 0.802
Sn3 Sn 0.299 0.261 0.676
Zn2 Zn 0.421 0.384 0.014
Sn4 Sn 0.092 0.055 0.722
Zn3 Zn 0.616 0.579 0.986
Zn4 Zn 0.154 0.117 0.198
```

The value obtained for the size of the total moment is 0.0000 μB/atom. For the formation energy from raw total energies, the calculation gives -21.31 eV/f.u. The density of states at the Fermi level is 0.100 states/eV/atom. Its space-group type is C2 (5).